Model w:
# Mo2NO, optimized geometry, DFT PBE+U
data_Mo2NO
_chemical_formula_sum 'Mo2 N1 O1'
_cell_length_a 3.9130
_cell_length_b 3.9130
_cell_length_c 3.9130
_cell_angle_alpha 60.00
_cell_angle_beta 60.00
_cell_angle_gamma 60.00
_symmetry_space_group_name_H-M 'P 1'
_symmetry_Int_Tables_number 1
loop_
_symmetry_equiv_pos_as_xyz
'x,y,z'
loop_
_atom_site_label
_atom_site_type_symbol
_atom_site_fract_x
_atom_site_fract_y
_atom_site_fract_z
_atom_site_occupancy
Mo1 Mo 0.2500 0.2500 0.2500 1
Mo2 Mo 0.7500 0.7500 0.7500 1
N1 N 0.0000 0.0000 0.0000 1
O1 O 0.5000 0.5000 0.5000 1
# Crystal system: cubic
# DOS at the Fermi energy: 0.439 states/eV per atom

---

Model x:
# Mo2NO, optimized geometry, DFT PBE+U
data_Mo2NO
_chemical_formula_sum 'Mo4 N2 O2'
_cell_length_a 5.9090
_cell_length_b 5.9090
_cell_length_c 5.9090
_cell_angle_alpha 131.61
_cell_angle_beta 131.61
_cell_angle_gamma 70.85
_symmetry_space_group_name_H-M 'P 1'
_symmetry_Int_Tables_number 1
loop_
_symmetry_equiv_pos_as_xyz
'x,y,z'
loop_
_atom_site_label
_atom_site_type_symbol
_atom_site_fract_x
_atom_site_fract_y
_atom_site_fract_z
_atom_site_occupancy
Mo1 Mo 0.1089 0.6250 0.9839 1
Mo2 Mo 0.3750 0.3589 0.4839 1
Mo3 Mo 0.6411 0.1250 0.0161 1
Mo4 Mo 0.8750 0.8911 0.5161 1
N1 N 0.0000 0.0000 0.0000 1
N2 N 0.7500 0.2500 0.5000 1
O1 O 0.2500 0.7500 0.5000 1
O2 O 0.5000 0.5000 0.0000 1
# Crystal system: tetragonal
# DOS at the Fermi energy: 0.433 states/eV per atom

---

Relative energies, kJ/mol of atoms: model w 64.7; model x 0.0.

---

Model w:
# MoP2NO, optimized geometry, DFT PBE+U
data_MoP2NO
_chemical_formula_sum 'Mo1 P2 N1 O1'
_cell_length_a 4.8174
_cell_length_b 4.8174
_cell_length_c 3.8119
_cell_angle_alpha 90.00
_cell_angle_beta 90.00
_cell_angle_gamma 90.00
_symmetry_space_group_name_H-M 'P 1'
_symmetry_Int_Tables_number 1
loop_
_symmetry_equiv_pos_as_xyz
'x,y,z'
loop_
_atom_site_label
_atom_site_type_symbol
_atom_site_fract_x
_atom_site_fract_y
_atom_site_fract_z
_atom_site_occupancy
Mo1 Mo 0.0000 0.0000 0.0000 1
P1 P 0.0000 0.5000 0.0000 1
P2 P 0.5000 0.0000 0.0000 1
N1 N 0.5000 0.5000 0.5000 1
O1 O 0.0000 0.0000 0.5000 1
# Crystal system: tetragonal
# DOS at the Fermi energy: 0.417 states/eV per atom

---

Model x:
# MoP2NO, optimized geometry, DFT PBE+U
data_MoP2NO
_chemical_formula_sum 'Mo1 P2 N1 O1'
_cell_length_a 3.7936
_cell_length_b 3.7936
_cell_length_c 4.2261
_cell_angle_alpha 90.00
_cell_angle_beta 90.00
_cell_angle_gamma 90.00
_symmetry_space_group_name_H-M 'P 1'
_symmetry_Int_Tables_number 1
loop_
_symmetry_equiv_pos_as_xyz
'x,y,z'
loop_
_atom_site_label
_atom_site_type_symbol
_atom_site_fract_x
_atom_site_fract_y
_atom_site_fract_z
_atom_site_occupancy
Mo1 Mo 0.0000 0.0000 0.0000 1
P1 P 0.0000 0.5000 0.5000 1
P2 P 0.5000 0.0000 0.5000 1
N1 N 0.5000 0.5000 0.5000 1
O1 O 0.5000 0.5000 0.0000 1
# Crystal system: tetragonal
# DOS at the Fermi energy: 0.362 states/eV per atom

---

Relative energies, kJ/mol of atoms: model w 21.9; model x 0.0.

---

Model w:
# MoSe2NO, optimized geometry, DFT PBE+U
data_MoSe2NO
_chemical_formula_sum 'Mo1 Se2 N1 O1'
_cell_length_a 4.9789
_cell_length_b 4.9789
_cell_length_c 3.8119
_cell_angle_alpha 90.00
_cell_angle_beta 90.00
_cell_angle_gamma 90.00
_symmetry_space_group_name_H-M 'P 1'
_symmetry_Int_Tables_number 1
loop_
_symmetry_equiv_pos_as_xyz
'x,y,z'
loop_
_atom_site_label
_atom_site_type_symbol
_atom_site_fract_x
_atom_site_fract_y
_atom_site_fract_z
_atom_site_occupancy
Mo1 Mo 0.0000 0.0000 0.0000 1
Se1 Se 0.0000 0.5000 0.0000 1
Se2 Se 0.5000 0.0000 0.0000 1
N1 N 0.0000 0.0000 0.5000 1
O1 O 0.5000 0.5000 0.5000 1
# Crystal system: tetragonal
# DOS at the Fermi energy: 1.027 states/eV per atom

---

Model x:
# MoSe2NO, optimized geometry, DFT PBE+U
data_MoSe2NO
_chemical_formula_sum 'Mo1 Se2 N1 O1'
_cell_length_a 4.4323
_cell_length_b 4.4323
_cell_length_c 3.9299
_cell_angle_alpha 90.00
_cell_angle_beta 90.00
_cell_angle_gamma 90.00
_symmetry_space_group_name_H-M 'P 1'
_symmetry_Int_Tables_number 1
loop_
_symmetry_equiv_pos_as_xyz
'x,y,z'
loop_
_atom_site_label
_atom_site_type_symbol
_atom_site_fract_x
_atom_site_fract_y
_atom_site_fract_z
_atom_site_occupancy
Mo1 Mo 0.0000 0.0000 0.0000 1
Se1 Se 0.0000 0.5000 0.5000 1
Se2 Se 0.5000 0.0000 0.5000 1
N1 N 0.5000 0.5000 0.0000 1
O1 O 0.5000 0.5000 0.5000 1
# Crystal system: tetragonal
# DOS at the Fermi energy: 0.328 states/eV per atom

---

Relative energies, kJ/mol of atoms: model w 0.0; model x 13.6.